A relaxed Tb2Sm6Dy3Th crystal, computed with GGA-PBE.

The structure belongs to space group C2/m (No. 12); the cell edges are 6.227, 10.770 and 11.922 Å and the angles 90.00°, 100.02° and 90.00°. The asymmetric unit holds Tb at (0.000, 0.167, 0.000), Sm at (0.246, 0.500, 0.750), Sm at (0.248, 0.335, 0.250), Dy at (0.000, 0.000, 0.500), Dy at (0.000, 0.333, 0.500) and Th at (0.000, 0.500, 0.000).

As for the total energy: -4.871 eV/atom. For the formation enthalpy at 0 K, the calculation gives 0.7 kcal/mol of atoms.